# CoBSb2I

CoBSb2I at its PBEsol-relaxed geometry (meta-GGA SCAN, Alexandria via LeMat-Bulk).

Cell: 4.7388 4.7388 5.3993 Å, 90.00 90.00 90.00°
Sites, in units of the cell vectors:
I (0.0000, 0.0000, 0.5000)
Sb (0.0000, 0.5000, 0.0000)
Sb (0.5000, 0.0000, 0.0000)
B (0.5000, 0.5000, 0.5000)
Co (0.0000, 0.0000, 0.0000)



# K2MgHIr

K2MgHIr at its PBEsol-relaxed geometry (meta-GGA SCAN, Alexandria via LeMat-Bulk).

Cell: 4.5174 4.5174 5.0130 Å, 90.00 90.00 90.00°
Site moments in Bohr magnetons follow the coordinates.
Sites, in units of the cell vectors:
H (0.0000, 0.0000, 0.0000)  -0.01
K (0.0000, 0.5000, 0.0000)  -0.01
K (0.5000, 0.0000, 0.0000)  -0.01
Ir (0.5000, 0.5000, 0.5000)  0.57
Mg (0.0000, 0.0000, 0.5000)  -0.02



# RbMg2BiAu

RbMg2BiAu at its PBEsol-relaxed geometry (meta-GGA SCAN, Alexandria via LeMat-Bulk).

Energy relative to the elements (eV per atom): 1.516

Cell: 6.0645 6.0437 6.0437 Å, 90.00 90.00 90.00°
Sites, in units of the cell vectors:
Mg (0.0000, 0.0000, 0.5000)
Mg (0.0000, 0.5000, 0.0000)
Au (0.5000, 0.5000, 0.5000)
Bi (0.5000, 0.0000, 0.0000)
Rb (0.0000, 0.0000, 0.0000)



# Zr2TaTe

Zr2TaTe at its PBEsol-relaxed geometry (meta-GGA SCAN, Alexandria via LeMat-Bulk).

Cell: 3.5644 4.8252 5.3557 Å, 108.70 109.44 90.00°
Sites, in units of the cell vectors:
Ta (0.4983, 0.5225, 0.9966)
Te (0.2407, 0.7235, 0.4814)
Zr (0.0020, 0.0092, 0.0040)
Zr (0.7590, 0.2447, 0.5180)



# AlReB2

AlReB2 at its PBEsol-relaxed geometry (meta-GGA SCAN, Alexandria via LeMat-Bulk).

Energy relative to the elements (eV per atom): 0.695

Cell: 4.9949 4.9949 5.7199 Å, 115.89 115.89 90.00°
Sites, in units of the cell vectors:
Re (0.2500, 0.7500, 0.5000)
Re (0.0000, 0.0000, 0.0000)
B (0.3474, 0.8750, 0.2500)
B (0.9026, 0.3750, 0.2500)
B (0.1250, 0.0974, 0.7500)
B (0.6250, 0.6526, 0.7500)
Al (0.7500, 0.2500, 0.5000)
Al (0.5000, 0.5000, 0.0000)



# LaAlP2

LaAlP2 at its PBEsol-relaxed geometry (meta-GGA SCAN, Alexandria via LeMat-Bulk).

Energy relative to the elements (eV per atom): -0.029

Cell: 4.8176 4.8176 4.8176 Å, 60.00 60.00 60.00°
Sites, in units of the cell vectors:
P (0.0000, 0.0000, 0.0000)
P (0.7500, 0.7500, 0.7500)
Al (0.5000, 0.5000, 0.5000)
La (0.2500, 0.2500, 0.2500)



# RbLiMo2As

RbLiMo2As at its PBEsol-relaxed geometry (meta-GGA SCAN, Alexandria via LeMat-Bulk).

Energy relative to the elements (eV per atom): 1.722

Cell: 4.4866 4.6199 4.6199 Å, 90.00 90.00 90.00°
Site moments in Bohr magnetons follow the coordinates.
Sites, in units of the cell vectors:
Mo (0.0000, 0.0000, 0.5000)  2.80
Mo (0.0000, 0.5000, 0.0000)  2.80
As (0.5000, 0.5000, 0.5000)  -0.23
Rb (0.5000, 0.0000, 0.0000)  0.10
Li (0.0000, 0.0000, 0.0000)  0.04



# CaTlCl2

CaTlCl2 at its PBEsol-relaxed geometry (meta-GGA SCAN, Alexandria via LeMat-Bulk).

Relative energy among the computed polymorphs (eV/atom): 0.2005

Cell: 3.9100 3.9100 8.6876 Å, 77.00 77.00 60.00°
Sites, in units of the cell vectors:
Tl (0.4987, 0.4987, 0.5040)
Ca (0.2598, 0.2598, 0.2207)
Cl (0.9812, 0.9812, 0.0565)
Cl (0.7604, 0.7604, 0.7188)



# LiMg2TaHg

LiMg2TaHg at its PBEsol-relaxed geometry (meta-GGA SCAN, Alexandria via LeMat-Bulk).

Energy relative to the elements (eV per atom): 0.874

Cell: 4.5455 5.0012 5.0012 Å, 90.00 90.00 90.00°
Site moments in Bohr magnetons follow the coordinates.
Sites, in units of the cell vectors:
Mg (0.0000, 0.0000, 0.5000)  -0.01
Mg (0.0000, 0.5000, 0.0000)  -0.01
Li (0.5000, 0.0000, 0.0000)  -0.01
Hg (0.0000, 0.0000, 0.0000)  -0.03
Ta (0.5000, 0.5000, 0.5000)  1.43



# CoAs2F2

CoAs2F2 at its PBEsol-relaxed geometry (meta-GGA SCAN, Alexandria via LeMat-Bulk).

Relative energy among the computed polymorphs (eV/atom): 0.0000

Cell: 4.1535 6.0066 6.0066 Å, 90.00 90.00 90.00°
Site moments in Bohr magnetons follow the coordinates.
Sites, in units of the cell vectors:
As (0.0000, 0.3500, 0.8500)  -0.07
As (0.0000, 0.8500, 0.6500)  -0.07
As (0.0000, 0.6500, 0.1500)  -0.07
As (0.0000, 0.1500, 0.3500)  -0.07
Co (0.0000, 0.0000, 0.0000)  1.11
Co (0.0000, 0.5000, 0.5000)  1.11
F (0.5000, 0.3403, 0.8403)  0.00
F (0.5000, 0.8403, 0.6597)  0.00
F (0.5000, 0.6597, 0.1597)  0.00
F (0.5000, 0.1597, 0.3403)  0.00



# NaAlHg2

NaAlHg2 at its PBEsol-relaxed geometry (meta-GGA SCAN, Alexandria via LeMat-Bulk).

Energy relative to the elements (eV per atom): 0.040

Cell: 4.5557 4.5557 9.9071 Å, 103.29 103.29 90.00°
Sites, in units of the cell vectors:
Na (0.7500, 0.2500, 0.5000)
Na (0.5000, 0.5000, 0.0000)
Hg (0.3425, 0.8750, 0.2500)
Hg (0.9075, 0.3750, 0.2500)
Hg (0.1250, 0.0925, 0.7500)
Hg (0.6250, 0.6575, 0.7500)
Al (0.2500, 0.7500, 0.5000)
Al (0.0000, 0.0000, 0.0000)



# CoHgP2

CoHgP2 at its PBEsol-relaxed geometry (meta-GGA SCAN, Alexandria via LeMat-Bulk).

Energy relative to the elements (eV per atom): 0.941

Cell: 4.3948 4.3948 4.3948 Å, 60.00 60.00 60.00°
Site moments in Bohr magnetons follow the coordinates.
Sites, in units of the cell vectors:
Co (0.5000, 0.5000, 0.5000)  1.73
Hg (0.7500, 0.7500, 0.7500)  -0.01
P (0.0000, 0.0000, 0.0000)  -0.02
P (0.2500, 0.2500, 0.2500)  -0.06



Short version: E_tot = -129.49; -93.30; -170.84; -166.09; -181.86; -71.77; -104.48; -103.17; -142.72; -139.12; -296.28; -102.50 eV for the cell shown, in the order given.
Short version: mass density = 6.03; 4.80; 4.05; 9.98; 6.95; 4.79; 6.23; 4.71; 6.38; 5.47; 7.71; 8.89 g/cm³, in the order given.